# BaTm2ScO5 (PBE, optimized geometry)
data_BaTm2ScO5
_chemical_formula_sum 'Ba2 Tm4 Sc2 O10'
_symmetry_space_group_name_H-M 'I m m m'
_symmetry_Int_Tables_number 71
_symmetry_space_group_name_Hall '-I 2 2'
_cell_length_a 3.944
_cell_length_b 5.818
_cell_length_c 11.308
_cell_angle_alpha 90.00
_cell_angle_beta 90.00
_cell_angle_gamma 90.00
loop_
_atom_site_label
_atom_site_type_symbol
_atom_site_fract_x
_atom_site_fract_y
_atom_site_fract_z
_atom_site_occupancy
Ba1 Ba 0.000 0.000 0.000 1
Tm1 Tm 0.000 0.500 0.215 1
Sc1 Sc 0.000 0.000 0.500 1
O1 O 0.000 0.234 0.352 1
O2 O 0.000 0.500 0.000 1
# Total DFT energy (no corrections)   -7.839 eV per atom

# Tm6Tc2Pd (PBE, optimized geometry)
data_Tm6Tc2Pd
_chemical_formula_sum 'Tm24 Tc8 Pd4'
_symmetry_space_group_name_H-M 'I m m m'
_symmetry_Int_Tables_number 71
_symmetry_space_group_name_Hall '-I 2 2'
_cell_length_a 9.368
_cell_length_b 9.476
_cell_length_c 9.807
_cell_angle_alpha 90.00
_cell_angle_beta 90.00
_cell_angle_gamma 90.00
loop_
_atom_site_label
_atom_site_type_symbol
_atom_site_fract_x
_atom_site_fract_y
_atom_site_fract_z
_atom_site_occupancy
Tm1 Tm 0.000 0.190 0.165 1
Tm2 Tm 0.177 0.242 0.500 1
Tm3 Tm 0.197 0.500 0.237 1
Tc1 Tc 0.000 0.000 0.383 1
Tc2 Tc 0.173 0.000 0.000 1
Pd1 Pd 0.000 0.500 0.000 1
Pd2 Pd 0.000 0.500 0.500 1
# Energy of formation from the pure elements   -277 meV/atom